No. 1
A plane-wave DFT calculation with GGA-PBE was carried out for a relaxed PmNpGa2 crystal.

* E_form: -0.91 eV/f.u.
* space-group type: P4/mmm
* ΔE to the lowest computed polymorph: 0 meV per atom

Cell lengths 3.2878, 3.2878, 8.4449 Å; angles 90.00, 90.00, 90.00 degrees
Fractional coordinates of all 4 atoms:
Ga  0.0000  0.0000  0.7561
Ga  0.0000  0.0000  0.2439
Np  0.5000  0.5000  0.0000
Pm  0.5000  0.5000  0.5000



No. 2
A plane-wave DFT calculation with GGA-PBE was carried out for a relaxed PmNpGaSb crystal.

* space-group type: F-43m
* uncorrected formation energy: 0.678 eV/f.u.

Cell lengths 5.2577, 5.2577, 5.2577 Å; angles 60.00, 60.00, 60.00 degrees
Fractional coordinates of all 4 atoms:
Np  0.0000  0.0000  0.0000
Sb  0.2500  0.2500  0.2500
Pm  0.7500  0.7500  0.7500
Ga  0.5000  0.5000  0.5000



No. 3
A plane-wave DFT calculation with GGA-PBE was carried out for a relaxed PmNpGaSn crystal.

* E_form: -0.76 eV/f.u.
* space-group type: F-43m

Cell lengths 5.2625, 5.2625, 5.2625 Å; angles 60.00, 60.00, 60.00 degrees
Fractional coordinates of all 4 atoms:
Pm  0.5000  0.5000  0.5000
Sn  0.7500  0.7500  0.7500
Ga  0.2500  0.2500  0.2500
Np  0.0000  0.0000  0.0000



No. 4
A plane-wave DFT calculation with GGA-PBE was carried out for a relaxed PrNpGa4 crystal.

* E_form: -1.67 eV/f.u.
* space-group type: F-43m

Cell lengths 5.5965, 5.5965, 5.5965 Å; angles 60.00, 60.00, 60.00 degrees
Fractional coordinates of all 6 atoms:
Pr  0.2500  0.2500  0.2500
Ga  0.1235  0.6255  0.6255
Ga  0.6255  0.6255  0.6255
Ga  0.6255  0.1235  0.6255
Ga  0.6255  0.6255  0.1235
Np  0.0000  0.0000  0.0000



No. 5
A plane-wave DFT calculation with GGA-PBE was carried out for a relaxed PrNpGa crystal.

* E_form: -0.13 eV/f.u.
* space-group type: P2_1/m

Cell lengths 3.5986, 5.2456, 7.8198 Å; angles 96.83, 90.00, 90.00 degrees
Fractional coordinates of all 6 atoms:
Np  0.7500  0.1503  0.4851
Pr  0.7500  0.5404  0.1861
Np  0.2500  0.8497  0.5149
Pr  0.2500  0.4596  0.8139
Ga  0.7500  0.9714  0.8584
Ga  0.2500  0.0286  0.1416



No. 6
A plane-wave DFT calculation with GGA-PBE was carried out for a relaxed PrNpGa2 crystal.

* E_form: 1.14 eV/f.u.
* space-group type: R-3m

Cell lengths 3.0945, 3.0945, 11.6638 Å; angles 82.38, 82.38, 60.00 degrees
Fractional coordinates of all 4 atoms:
Np  0.5000  0.5000  0.5000
Ga  0.0901  0.0901  0.7297
Ga  0.9099  0.9099  0.2703
Pr  0.0000  0.0000  0.0000



No. 7
A plane-wave DFT calculation with GGA-PBE was carried out for a relaxed Pr2NpGa crystal.

* E_form: 1.37 eV/f.u.
* space-group type: R-3m

Cell lengths 3.4612, 3.4612, 11.7395 Å; angles 81.52, 81.52, 60.00 degrees
Fractional coordinates of all 4 atoms:
Np  0.0000  0.0000  0.0000
Pr  0.9019  0.9019  0.2944
Pr  0.0981  0.0981  0.7056
Ga  0.5000  0.5000  0.5000



No. 8
A plane-wave DFT calculation with GGA-PBE was carried out for a relaxed NpGaPt2 crystal.

* E_form: -1.46 eV/f.u.
* space-group type: P4/mmm

Cell lengths 2.8525, 5.0915, 5.0915 Å; angles 90.00, 90.00, 90.00 degrees
Fractional coordinates of all 4 atoms:
Pt  0.0000  0.5000  0.0000
Pt  0.0000  0.0000  0.5000
Np  0.5000  0.5000  0.5000
Ga  0.5000  0.0000  0.0000



No. 9
A plane-wave DFT calculation with GGA-PBE was carried out for a relaxed Np2Ga6Pt crystal.

* E_form: -2.85 eV/f.u.
* space-group type: P-3m1

Cell lengths 5.5259, 5.9421, 5.9421 Å; angles 60.00, 90.00, 90.00 degrees
Fractional coordinates of all 9 atoms:
Pt  0.0000  0.0000  0.0000
Ga  0.3176  0.8212  0.8212
Ga  0.3176  0.8211  0.3578
Ga  0.6824  0.1788  0.1788
Ga  0.6824  0.6422  0.1789
Ga  0.6824  0.1789  0.6422
Np  0.8268  0.6667  0.6667
Np  0.1732  0.3333  0.3333
Ga  0.3176  0.3578  0.8211



No. 10
A plane-wave DFT calculation with GGA-PBE was carried out for a relaxed NpGa12Pt6 crystal.

* E_form: -9.26 eV/f.u.
* space-group type: R-3m

Cell lengths 7.2365, 7.2365, 7.2365 Å; angles 104.93, 104.93, 104.93 degrees
Fractional coordinates of all 19 atoms:
Ga  0.3922  0.3922  0.1408
Ga  0.8882  0.5000  0.1118
Ga  0.3922  0.1408  0.3922
Pt  0.7114  0.2839  0.2839
Ga  0.5000  0.1118  0.8882
Pt  0.7161  0.7161  0.2886
Ga  0.1408  0.3922  0.3922
Ga  0.6078  0.6078  0.8592
Ga  0.6078  0.8592  0.6078
Ga  0.1118  0.5000  0.8882
Pt  0.7161  0.2886  0.7161
Pt  0.2839  0.2839  0.7114
Np  0.0000  0.0000  0.0000
Ga  0.8592  0.6078  0.6078
Ga  0.5000  0.8882  0.1118
Ga  0.1118  0.8882  0.5000
Pt  0.2886  0.7161  0.7161
Pt  0.2839  0.7114  0.2839
Ga  0.8882  0.1118  0.5000



No. 11
A plane-wave DFT calculation with GGA-PBE was carried out for a relaxed NpGa2Pt3 crystal.

* E_form: -3.64 eV/f.u.
* space-group type: C2/m

Cell lengths 4.0374, 8.6994, 9.9459 Å; angles 105.61, 90.00, 103.42 degrees
Fractional coordinates of all 18 atoms:
Ga  0.1924  0.3848  0.1235
Pt  0.9574  0.9147  0.6669
Pt  0.3236  0.6472  0.0498
Np  0.0000  0.0000  0.0000
Np  0.1654  0.3308  0.7080
Pt  0.6764  0.3528  0.9502
Ga  0.8076  0.6152  0.8765
Ga  0.4592  0.9184  0.2254
Ga  0.6382  0.2764  0.4539
Pt  0.6099  0.2197  0.1844
Pt  0.7799  0.5597  0.6108
Pt  0.0426  0.0853  0.3331
Ga  0.3618  0.7236  0.5461
Pt  0.5000  0.0000  0.5000
Pt  0.2201  0.4403  0.3892
Pt  0.3901  0.7803  0.8156
Ga  0.5408  0.0816  0.7746
Np  0.8346  0.6692  0.2920



No. 12
A plane-wave DFT calculation with GGA-PBE was carried out for a relaxed NpGa2Pt2 crystal.

* E_form: -2.61 eV/f.u.
* space-group type: Cmcm
* ΔE to the lowest computed polymorph: 74 meV per atom

Cell lengths 4.6037, 4.6037, 9.2569 Å; angles 90.00, 90.00, 100.42 degrees
Fractional coordinates of all 10 atoms:
Ga  0.3079  0.3079  0.3886
Ga  0.3079  0.3079  0.1114
Np  0.7774  0.7774  0.2500
Np  0.2226  0.2226  0.7500
Pt  0.2078  0.7922  0.0000
Ga  0.6921  0.6921  0.6114
Pt  0.7922  0.2078  0.5000
Pt  0.7922  0.2078  0.0000
Pt  0.2078  0.7922  0.5000
Ga  0.6921  0.6921  0.8886



Calculated total energy: -24.65, -24.16, -25.48, -31.49, -20.88, -22.64, -24.16, -29.51, -52.93, -94.77, -40.75, -33.69 (eV per formula unit)